# BaSrMn2Si

A relaxed BaSrMn2Si crystal (PBE-GGA, Alexandria via LeMat-Bulk).

Cell lengths 5.592, 5.592, 5.706 Å; angles 90.00, 90.00, 90.00 degrees
Space group P4/mmm (No. 123)
Asymmetric unit:
Ba1 0.000 0.000 0.000 [1 per cell]
Sr1 0.500 0.500 0.500 [1 per cell]
Mn1 0.000 0.500 0.000 [2 per cell]
Si1 0.000 0.000 0.500 [1 per cell]

Computed properties:
Energy = -4.175 eV per atom
Formation energy from raw total energies = 1.2984 eV per atom
N(E_F) = 0.765 states/eV per atom